Density functional theory data (PBE) for TiFe2POs after structural relaxation.

The structure in extended XYZ format:
```
5
Lattice="-1.028 -3.970 -0.869 1.349 0.612 -4.397 3.877 -1.227 1.019" Properties=species:S:1:pos:R:3 pbc="T T T"
Fe -0.514 -1.985 -0.434
Fe 1.938 -0.614 0.509
Os 0.675 0.306 -2.198
Ti 0.000 0.000 0.000
P 2.099 -2.292 -2.123
```

Results
Formation energy from the elements ... 1.565 eV per atom



Density functional theory data (PBE) for Sm2Se2N after structural relaxation.

The structure in extended XYZ format:
```
10
Lattice="-0.517 -1.316 -3.880 2.012 -7.034 2.117 -6.911 -0.942 3.438" Properties=species:S:1:pos:R:3 pbc="T T T"
Se -1.193 -6.970 2.522
Se -3.637 -4.373 -0.230
Se -5.350 -7.096 0.922
Se -0.234 -1.613 0.578
Sm -1.094 -4.248 1.586
Sm -5.537 -4.305 2.198
Sm 0.765 -7.240 0.156
Sm -5.187 -2.020 -0.821
N -5.764 -1.920 1.420
N -0.318 -5.046 -0.444
```

Results
Energy ... -63.8 eV per cell



Density functional theory data (PBE) for HfCdCoRh after structural relaxation.

The structure in extended XYZ format:
```
4
Lattice="-0.354 -1.593 4.179 3.678 -0.554 2.509 0.755 2.702 3.501" Properties=species:S:1:pos:R:3 pbc="T T T"
Hf 1.020 0.139 2.547
Co 2.039 0.278 5.095
Cd 3.059 0.416 7.642
Rh 0.000 0.000 0.000
```

Results
Formation energy from the elements ... -0.370 eV per atom